Entry from Alexandria: NiPdN2O after structural relaxation (PBE+U).

Summary:
For the total energy, the calculation gives -21.6 eV for the cell shown.

Cell: 3.881 3.881 4.195 Å, 90.00 90.00 90.00°
Fractional coordinates of all 5 atoms:
Ni (0.000, 0.000, 0.000)
Pd (0.500, 0.500, 0.500)
N (0.000, 0.500, 0.500)
N (0.500, 0.000, 0.500)
O (0.500, 0.500, 0.000)